# Co4Pd2Pt, relaxed, DFT PBE
data_Co4Pd2Pt
_chemical_formula_sum 'Co8 Pd4 Pt2'
_cell_length_a 2.663
_cell_length_b 26.104
_cell_length_c 2.659
_cell_angle_alpha 90.00
_cell_angle_beta 90.00
_cell_angle_gamma 90.00
_symmetry_space_group_name_H-M 'C m m m'
_symmetry_Int_Tables_number 65
_symmetry_space_group_name_Hall '-C 2 2'
loop_
_atom_site_label
_atom_site_fract_x
_atom_site_fract_y
_atom_site_fract_z
Co1 0.000 0.073 0.000
Co2 0.000 0.368 0.500
Pd1 0.000 0.204 0.000
Pt1 0.000 0.500 0.500
# Magnetic moment   15.55 Bohr magnetons per cell
# Total DFT energy (no corrections)   -6.383 eV per atom

=====

# Co2PdPt3, relaxed, DFT PBE
data_Co2PdPt3
_chemical_formula_sum 'Co4 Pd2 Pt6'
_cell_length_a 5.4844
_cell_length_b 5.4844
_cell_length_c 6.6034
_cell_angle_alpha 90.00
_cell_angle_beta 90.00
_cell_angle_gamma 120.00
_symmetry_space_group_name_H-M 'P -3 m 1'
_symmetry_Int_Tables_number 164
_symmetry_space_group_name_Hall '-P 3 2"'
loop_
_atom_site_label
_atom_site_fract_x
_atom_site_fract_y
_atom_site_fract_z
Co1 0.0000 0.0000 0.0000
Co2 0.0000 0.5000 0.0000
Pd1 0.3333 0.6667 0.6792
Pt1 0.1666 0.3332 0.3151
# Magnetic moment   10.90 Bohr magnetons per cell
# Total DFT energy (no corrections)   -6.297 eV per atom
# Distance to the lowest polymorph of the same formula   68 meV per atom

=====

# Co5Pd2Pt2, relaxed, DFT PBE
data_Co5Pd2Pt2
_chemical_formula_sum 'Co10 Pd4 Pt4'
_cell_length_a 8.141
_cell_length_b 3.658
_cell_length_c 8.495
_cell_angle_alpha 90.00
_cell_angle_beta 96.23
_cell_angle_gamma 90.00
_symmetry_space_group_name_H-M 'C 1 2/m 1'
_symmetry_Int_Tables_number 12
loop_
_symmetry_equiv_pos_as_xyz
'x,y,z'
'-x,-y,-z'
'-x,y,-z'
'x,-y,z'
'x+1/2,y+1/2,z'
'-x+1/2,-y+1/2,-z'
'-x+1/2,y+1/2,-z'
'x+1/2,-y+1/2,z'
loop_
_atom_site_label
_atom_site_fract_x
_atom_site_fract_y
_atom_site_fract_z
Co1 0.000 0.000 0.000
Co2 0.077 0.500 0.792
Co3 0.117 0.000 0.287
Pd1 0.160 0.000 0.586
Pt1 0.206 0.500 0.105
# Magnetic moment   21.46 Bohr magnetons per cell
# Total DFT energy (no corrections)   -6.344 eV per atom

=====

# CoPd2Pt3, relaxed, DFT PBE
data_CoPd2Pt3
_chemical_formula_sum 'Co4 Pd8 Pt12'
_cell_length_a 12.805
_cell_length_b 5.422
_cell_length_c 5.446
_cell_angle_alpha 90.00
_cell_angle_beta 102.12
_cell_angle_gamma 90.00
_symmetry_space_group_name_H-M 'C 1 2/c 1'
_symmetry_Int_Tables_number 15
loop_
_symmetry_equiv_pos_as_xyz
'x,y,z'
'-x,-y,-z'
'-x,y,-z+1/2'
'x,-y,z+1/2'
'x+1/2,y+1/2,z'
'-x+1/2,-y+1/2,-z'
'-x+1/2,y+1/2,-z+1/2'
'x+1/2,-y+1/2,z+1/2'
loop_
_atom_site_label
_atom_site_fract_x
_atom_site_fract_y
_atom_site_fract_z
Co1 0.000 0.250 0.250
Pd1 0.163 0.003 0.083
Pt1 0.000 0.229 0.750
Pt2 0.148 0.498 0.572
# Magnetic moment   13.22 Bohr magnetons per cell
# Total DFT energy (no corrections)   -5.879 eV per atom

=====

# CoPd4Pt, relaxed, DFT PBE
data_CoPd4Pt
_chemical_formula_sum 'Co2 Pd8 Pt2'
_cell_length_a 4.784
_cell_length_b 8.269
_cell_length_c 4.773
_cell_angle_alpha 90.00
_cell_angle_beta 109.59
_cell_angle_gamma 90.00
_symmetry_space_group_name_H-M 'C 1 2/m 1'
_symmetry_Int_Tables_number 12
loop_
_symmetry_equiv_pos_as_xyz
'x,y,z'
'-x,-y,-z'
'-x,y,-z'
'x,-y,z'
'x+1/2,y+1/2,z'
'-x+1/2,-y+1/2,-z'
'-x+1/2,y+1/2,-z'
'x+1/2,-y+1/2,z'
loop_
_atom_site_label
_atom_site_fract_x
_atom_site_fract_y
_atom_site_fract_z
Co1 0.000 0.000 0.000
Pd1 0.000 0.163 0.500
Pd2 0.000 0.334 0.000
Pt1 0.000 0.500 0.500
# Magnetic moment   7.92 Bohr magnetons per cell
# Total DFT energy (no corrections)   -5.656 eV per atom
# Distance to the lowest polymorph of the same formula   0 meV per atom

=====

# CoPd2Pt2, relaxed, DFT PBE
data_CoPd2Pt2
_chemical_formula_sum 'Co4 Pd8 Pt8'
_cell_length_a 5.353
_cell_length_b 9.337
_cell_length_c 6.641
_cell_angle_alpha 90.00
_cell_angle_beta 108.91
_cell_angle_gamma 90.00
_symmetry_space_group_name_H-M 'C 1 2/m 1'
_symmetry_Int_Tables_number 12
loop_
_symmetry_equiv_pos_as_xyz
'x,y,z'
'-x,-y,-z'
'-x,y,-z'
'x,-y,z'
'x+1/2,y+1/2,z'
'-x+1/2,-y+1/2,-z'
'-x+1/2,y+1/2,-z'
'x+1/2,-y+1/2,z'
loop_
_atom_site_label
_atom_site_fract_x
_atom_site_fract_y
_atom_site_fract_z
Co1 0.000 0.124 0.000
Pd1 0.053 0.500 0.207
Pd2 0.149 0.000 0.372
Pt1 0.152 0.242 0.709
# Magnetic moment   12.42 Bohr magnetons per cell
# Total DFT energy (no corrections)   -5.771 eV per atom
# Distance to the lowest polymorph of the same formula   237 meV per atom

=====

# CoPd2Pt2, relaxed, DFT PBE
data_CoPd2Pt2
_chemical_formula_sum 'Co2 Pd4 Pt4'
_cell_length_a 6.392
_cell_length_b 6.392
_cell_length_c 3.966
_cell_angle_alpha 90.00
_cell_angle_beta 90.00
_cell_angle_gamma 90.00
_symmetry_space_group_name_H-M 'P 4/m b m'
_symmetry_Int_Tables_number 127
_symmetry_space_group_name_Hall '-P 4 2ab'
loop_
_atom_site_label
_atom_site_fract_x
_atom_site_fract_y
_atom_site_fract_z
Co1 0.000 0.000 0.000
Pd1 0.159 0.341 0.500
Pt1 0.144 0.644 0.000
# Magnetic moment   5.68 Bohr magnetons per cell
# Total DFT energy (no corrections)   -5.663 eV per atom
# Distance to the lowest polymorph of the same formula   345 meV per atom

=====

# CoPd6Pt, relaxed, DFT PBE
data_CoPd6Pt
_chemical_formula_sum 'Co2 Pd12 Pt2'
_cell_length_a 8.753
_cell_length_b 3.900
_cell_length_c 7.840
_cell_angle_alpha 90.00
_cell_angle_beta 116.70
_cell_angle_gamma 90.00
_symmetry_space_group_name_H-M 'C 1 2/m 1'
_symmetry_Int_Tables_number 12
loop_
_symmetry_equiv_pos_as_xyz
'x,y,z'
'-x,-y,-z'
'-x,y,-z'
'x,-y,z'
'x+1/2,y+1/2,z'
'-x+1/2,-y+1/2,-z'
'-x+1/2,y+1/2,-z'
'x+1/2,-y+1/2,z'
loop_
_atom_site_label
_atom_site_fract_x
_atom_site_fract_y
_atom_site_fract_z
Co1 0.000 0.000 0.000
Pd1 0.001 0.500 0.243
Pd2 0.249 0.000 0.370
Pd3 0.249 0.500 0.121
Pt1 0.000 0.000 0.500
# Magnetic moment   8.94 Bohr magnetons per cell
# Total DFT energy (no corrections)   -5.533 eV per atom
# Distance to the lowest polymorph of the same formula   0 meV per atom

=====

# Co2Pd3Pt3, relaxed, DFT PBE
data_Co2Pd3Pt3
_chemical_formula_sum 'Co8 Pd12 Pt12'
_cell_length_a 4.011
_cell_length_b 8.890
_cell_length_c 13.594
_cell_angle_alpha 90.00
_cell_angle_beta 90.00
_cell_angle_gamma 90.00
_symmetry_space_group_name_H-M 'C m c m'
_symmetry_Int_Tables_number 63
_symmetry_space_group_name_Hall '-C 2c 2'
loop_
_atom_site_label
_atom_site_fract_x
_atom_site_fract_y
_atom_site_fract_z
Co1 0.000 0.239 0.141
Pd1 0.000 0.353 0.538
Pd2 0.000 0.483 0.250
Pt1 0.000 0.049 0.596
Pt2 0.000 0.225 0.750
# Magnetic moment   25.21 Bohr magnetons per cell
# Total DFT energy (no corrections)   -5.893 eV per atom

=====

# CoPd6Pt2, relaxed, DFT PBE
data_CoPd6Pt2
_chemical_formula_sum 'Co1 Pd6 Pt2'
_cell_length_a 2.7517
_cell_length_b 2.7517
_cell_length_c 20.8666
_cell_angle_alpha 90.00
_cell_angle_beta 90.00
_cell_angle_gamma 120.00
_symmetry_space_group_name_H-M 'P -6 m 2'
_symmetry_Int_Tables_number 187
_symmetry_space_group_name_Hall 'P -6 2'
loop_
_atom_site_label
_atom_site_fract_x
_atom_site_fract_y
_atom_site_fract_z
Co1 0.0000 0.0000 0.0000
Pd1 0.0000 0.0000 0.2108
Pd2 0.0000 0.0000 0.4379
Pd3 0.3333 0.6667 0.0984
Pt1 0.3333 0.6667 0.3246
# Magnetic moment   3.61 Bohr magnetons per cell
# Total DFT energy (no corrections)   -5.543 eV per atom
# Distance to the lowest polymorph of the same formula   0 meV per atom

=====

# CoPd3Pt, relaxed, DFT PBE
data_CoPd3Pt
_chemical_formula_sum 'Co1 Pd3 Pt1'
_cell_length_a 4.485
_cell_length_b 4.485
_cell_length_c 4.485
_cell_angle_alpha 90.00
_cell_angle_beta 90.00
_cell_angle_gamma 90.00
_symmetry_space_group_name_H-M 'P m -3 m'
_symmetry_Int_Tables_number 221
_symmetry_space_group_name_Hall '-P 4 2 3'
loop_
_atom_site_label
_atom_site_fract_x
_atom_site_fract_y
_atom_site_fract_z
Co1 0.000 0.000 0.000
Pd1 0.000 0.000 0.500
Pt1 0.500 0.500 0.500
# Magnetic moment   2.83 Bohr magnetons per cell
# Total DFT energy (no corrections)   -4.819 eV per atom
# Distance to the lowest polymorph of the same formula   842 meV per atom

=====

# Co2PdPt2, relaxed, DFT PBE
data_Co2PdPt2
_chemical_formula_sum 'Co4 Pd2 Pt4'
_cell_length_a 7.253
_cell_length_b 7.253
_cell_length_c 2.730
_cell_angle_alpha 90.00
_cell_angle_beta 90.00
_cell_angle_gamma 90.00
_symmetry_space_group_name_H-M 'P 4/m b m'
_symmetry_Int_Tables_number 127
_symmetry_space_group_name_Hall '-P 4 2ab'
loop_
_atom_site_label
_atom_site_fract_x
_atom_site_fract_y
_atom_site_fract_z
Co1 0.119 0.381 0.000
Pd1 0.000 0.000 0.000
Pt1 0.174 0.674 0.500
# Magnetic moment   9.70 Bohr magnetons per cell
# Total DFT energy (no corrections)   -6.261 eV per atom
# Distance to the lowest polymorph of the same formula   79 meV per atom

=====

For each record above, in turn, the calculated formation energy values are 0.024; -0.043; 0.100; 0.057; -0.003; 0.144; 0.252; 0.005; 0.097; 0.051; 0.926; 0.036 eV/atom.